Er3As2P: optimized geometry, PBE.

```
Er3As2P
1.0
4.042 0.000 0.000
-2.021 3.500 0.000
0.000 0.000 9.911
Er As P
3 2 1
direct
0.000 0.000 0.000 Er
0.333 0.667 0.661 Er
0.667 0.333 0.339 Er
0.333 0.667 0.169 As
0.667 0.333 0.831 As
0.000 0.000 0.500 P
```

Computed properties:
space-group type: P-3m1, No. 164
magnetization: 0.01 μB/cell
calculated total energy: -6.280 eV/atom